# PBE Pr2Sm7Dy3, relaxed
# ΔE_f = 0.112 eV/atom
# polymorph energy (0 for the lowest one) = 42.5 meV/atom
# symmetry = Cmmm, No. 65
# crystal system = orthorhombic
data_Pr2Sm7Dy3
_chemical_formula_sum 'Pr2 Sm7 Dy3'
_cell_length_a 19.449
_cell_length_b 19.449
_cell_length_c 3.652
_cell_angle_alpha 90.00
_cell_angle_beta 90.00
_cell_angle_gamma 162.85
_symmetry_space_group_name_H-M 'P 1'
_symmetry_Int_Tables_number 1
loop_
_symmetry_equiv_pos_as_xyz
'x,y,z'
loop_
_atom_site_label
_atom_site_fract_x
_atom_site_fract_y
_atom_site_fract_z
Pr1 0.148 0.852 0.000
Pr2 0.852 0.148 0.000
Sm1 0.000 0.000 0.000
Sm2 0.071 0.929 0.500
Sm3 0.231 0.769 0.000
Sm4 0.410 0.590 0.000
Sm5 0.590 0.410 0.000
Sm6 0.769 0.231 0.000
Sm7 0.929 0.071 0.500
Dy1 0.314 0.686 0.500
Dy2 0.500 0.500 0.500
Dy3 0.686 0.314 0.500

***

# PBE NdEr3Sb3, relaxed
# uncorrected formation energy = -93 kJ per mole of atoms
# polymorph energy (0 for the lowest one) = 0.0 meV/atom
# symmetry = P2_13, No. 198
# crystal system = cubic
data_NdEr3Sb3
_chemical_formula_sum 'Nd4 Er12 Sb12'
_cell_length_a 9.220
_cell_length_b 9.220
_cell_length_c 9.220
_cell_angle_alpha 90.00
_cell_angle_beta 90.00
_cell_angle_gamma 90.00
_symmetry_space_group_name_H-M 'P 1'
_symmetry_Int_Tables_number 1
loop_
_symmetry_equiv_pos_as_xyz
'x,y,z'
loop_
_atom_site_label
_atom_site_fract_x
_atom_site_fract_y
_atom_site_fract_z
Nd1 0.069 0.431 0.569
Nd2 0.431 0.569 0.069
Nd3 0.569 0.069 0.431
Nd4 0.931 0.931 0.931
Er1 0.078 0.578 0.922
Er2 0.178 0.822 0.322
Er3 0.180 0.180 0.180
Er4 0.320 0.820 0.680
Er5 0.322 0.178 0.822
Er6 0.422 0.422 0.422
Er7 0.578 0.922 0.078
Er8 0.678 0.678 0.678
Er9 0.680 0.320 0.820
Er10 0.820 0.680 0.320
Er11 0.822 0.322 0.178
Er12 0.922 0.078 0.578
Sb1 0.002 0.258 0.879
Sb2 0.121 0.502 0.242
Sb3 0.242 0.121 0.502
Sb4 0.258 0.879 0.002
Sb5 0.379 0.498 0.742
Sb6 0.498 0.742 0.379
Sb7 0.502 0.242 0.121
Sb8 0.621 0.998 0.758
Sb9 0.742 0.379 0.498
Sb10 0.758 0.621 0.998
Sb11 0.879 0.002 0.258
Sb12 0.998 0.758 0.621

***

# PBE Nd4RuSeCl2, relaxed
# uncorrected formation energy = -120 kJ per mole of atoms
# symmetry = P2/m, No. 10
# crystal system = monoclinic
data_Nd4RuSeCl2
_chemical_formula_sum 'Nd4 Ru1 Se1 Cl2'
_cell_length_a 7.457
_cell_length_b 4.067
_cell_length_c 7.574
_cell_angle_alpha 90.00
_cell_angle_beta 107.17
_cell_angle_gamma 90.00
_symmetry_space_group_name_H-M 'P 1'
_symmetry_Int_Tables_number 1
loop_
_symmetry_equiv_pos_as_xyz
'x,y,z'
loop_
_atom_site_label
_atom_site_fract_x
_atom_site_fract_y
_atom_site_fract_z
Nd1 0.213 0.000 0.218
Nd2 0.220 0.500 0.761
Nd3 0.780 0.500 0.239
Nd4 0.787 0.000 0.782
Ru1 0.000 0.500 0.000
Se1 0.000 0.000 0.500
Cl1 0.500 0.000 0.000
Cl2 0.500 0.500 0.500

***

no.,E (eV/cell),DOS(E_F) (states/eV per atom)
1,-55.06,1.58
2,-150.39,0.98
3,-45.46,0.74